First-principles (GGA-PBE) data for a geometry-optimized CaMnPt2 structure, as listed in Alexandria. Values from VASP.

```
&SYSTEM
  ibrav = 0, nat = 4, ntyp = 3
/
ATOMIC_SPECIES
Ca 40.08 Ca.upf
Mn 54.94 Mn.upf
Pt 195.08 Pt.upf
CELL_PARAMETERS angstrom
0.0000 3.2950 3.2950
3.2950 0.0000 3.2950
3.2950 3.2950 0.0000
ATOMIC_POSITIONS crystal
Ca 0.0000 0.0000 0.0000
Mn 0.7500 0.7500 0.7500
Pt 0.2500 0.2500 0.2500
Pt 0.5000 0.5000 0.5000
```

First-principles (GGA-PBE) data for a geometry-optimized CaMnPt2 structure, as listed in Alexandria. Values from VASP.

```
&SYSTEM
  ibrav = 0, nat = 4, ntyp = 3
/
ATOMIC_SPECIES
Ca 40.08 Ca.upf
Mn 54.94 Mn.upf
Pt 195.08 Pt.upf
CELL_PARAMETERS angstrom
-2.2001 2.2001 3.6802
2.2001 -2.2001 3.6802
2.2001 2.2001 -3.6802
ATOMIC_POSITIONS crystal
Ca 0.0000 0.0000 0.0000
Mn 0.5000 0.5000 0.0000
Pt 0.2500 0.7500 0.5000
Pt 0.7500 0.2500 0.5000
```

First-principles (GGA-PBE) data for a geometry-optimized CaMnPt2 structure, as listed in Alexandria. Values from VASP.

```
&SYSTEM
  ibrav = 0, nat = 4, ntyp = 3
/
ATOMIC_SPECIES
Ca 40.08 Ca.upf
Mn 54.94 Mn.upf
Pt 195.08 Pt.upf
CELL_PARAMETERS angstrom
1.5162 0.8754 8.9005
-1.5162 0.8754 8.9005
0.0000 -1.7507 8.9005
ATOMIC_POSITIONS crystal
Ca 0.0000 0.0000 0.0000
Mn 0.5000 0.5000 0.5000
Pt 0.2437 0.2437 0.2437
Pt 0.7563 0.7563 0.7563
```

First-principles (GGA-PBE) data for a geometry-optimized CaMnPt2 structure, as listed in Alexandria. Values from VASP.

```
&SYSTEM
  ibrav = 0, nat = 4, ntyp = 3
/
ATOMIC_SPECIES
Ca 40.08 Ca.upf
Mn 54.94 Mn.upf
Pt 195.08 Pt.upf
CELL_PARAMETERS angstrom
3.2193 0.0000 0.0000
0.0000 3.2193 0.0000
0.0000 0.0000 6.9563
ATOMIC_POSITIONS crystal
Ca 0.0000 0.0000 0.0000
Mn 0.0000 0.0000 0.5000
Pt 0.5000 0.5000 0.2902
Pt 0.5000 0.5000 0.7098
```

First-principles (GGA-PBE) data for a geometry-optimized CaMn2Pt2 structure, as listed in Alexandria. Values from VASP.

```
&SYSTEM
  ibrav = 0, nat = 5, ntyp = 3
/
ATOMIC_SPECIES
Ca 40.08 Ca.upf
Mn 54.94 Mn.upf
Pt 195.08 Pt.upf
CELL_PARAMETERS angstrom
-1.8269 1.8269 6.2723
1.8269 -1.8269 6.2723
1.8269 1.8269 -6.2723
ATOMIC_POSITIONS crystal
Ca 0.0000 0.0000 0.0000
Mn 0.2500 0.7500 0.5000
Mn 0.7500 0.2500 0.5000
Pt 0.3918 0.3918 0.0000
Pt 0.6082 0.6082 0.0000
```

First-principles (GGA-PBE) data for a geometry-optimized CaMnPt2 structure, as listed in Alexandria. Values from VASP.

```
&SYSTEM
  ibrav = 0, nat = 4, ntyp = 3
/
ATOMIC_SPECIES
Ca 40.08 Ca.upf
Mn 54.94 Mn.upf
Pt 195.08 Pt.upf
CELL_PARAMETERS angstrom
2.9492 0.0000 0.0000
0.0000 4.2801 0.0000
0.0000 0.0000 5.7886
ATOMIC_POSITIONS crystal
Ca 0.0000 0.0000 0.0000
Mn 0.5000 0.5000 0.3438
Pt 0.0000 0.0000 0.4867
Pt 0.5000 0.5000 0.7890
```

The following total DFT energy (no corrections) values (in eV/f.u.) correspond, in order, to the records above: -24.29; -25.11; -23.78; -25.41; -32.28; -24.60.
The following formation energy from the elements values (in eV/atom) correspond, in order, to the records above: -0.259; -0.465; -0.133; -0.538; 0.029; -0.337.